1.
Tb3Ho3Co4: relaxed, PBE.

Results
- SG: Amm2, No. 38
- Formation energy from the elements: -0.1471 eV per atom
- Total moment: 0.00 μB/f.u.

Lattice parameters (Å, degrees): 4.1673 7.1871 7.1871 90.12 90.00 90.00
Fractional positions:
Ho1 0.5000 0.8269 0.1731
Co1 0.0000 0.6130 0.3870
Co2 0.0000 0.8868 0.8907
Tb1 0.5000 0.1717 0.8283
Tb2 0.0000 0.0000 0.4995
Co3 0.0000 0.3914 0.6086
Tb3 0.0000 0.5005 0.0000
Ho2 0.5000 0.3282 0.3278
Ho3 0.5000 0.6722 0.6718
Co4 0.0000 0.1093 0.1132


2.
TbHo3Co: relaxed, PBE.

Results
- SG: Pm-3m, No. 221
- Offset from the most stable computed form: 0.097 eV/atom
- Formation energy from the elements: -0.0142 eV per atom
- Total moment: 0.00 μB/f.u.

Lattice parameters (Å, degrees): 5.2505 5.2505 5.2505 90.00 90.00 90.00
Fractional positions:
Ho1 0.5000 0.0000 0.0000
Co1 0.0000 0.0000 0.0000
Tb1 0.5000 0.5000 0.5000
Ho2 0.0000 0.0000 0.5000
Ho3 0.0000 0.5000 0.0000


3.
TbHo2Co2: relaxed, PBE.

Results
- SG: Cmmm, No. 65
- Offset from the most stable computed form: 0.000 eV/atom
- Formation energy from the elements: -0.1550 eV per atom
- Total moment: 0.32 μB/f.u.

Lattice parameters (Å, degrees): 3.8901 3.8939 7.5521 104.94 90.00 90.00
Last column: magnetic moment on the atom in μB.
Fractional positions:
Co1 0.0000 0.2021 0.4042  0.06
Ho1 0.5000 0.6518 0.3036  0.01
Ho2 0.5000 0.3482 0.6964  0.01
Co2 0.0000 0.7979 0.5958  0.06
Tb1 0.0000 0.0000 0.0000  0.11


4.
Tb3HoCo: relaxed, PBE.

Results
- SG: C2/m, No. 12
- Offset from the most stable computed form: 0.000 eV/atom
- Formation energy from the elements: -0.1055 eV per atom
- Total moment: 0.07 μB/f.u.

Lattice parameters (Å, degrees): 7.1291 7.1291 7.1460 109.21 110.34 108.77
Fractional positions:
Tb1 0.2930 0.5473 0.8403
Ho1 0.7045 0.0471 0.7516
Ho2 0.2955 0.9529 0.2484
Tb2 0.8405 0.0469 0.2927
Tb3 0.1595 0.9531 0.7073
Tb4 0.2458 0.4523 0.2927
Co1 0.3782 0.2498 0.6279
Tb5 0.7542 0.5477 0.7073
Co2 0.6218 0.7502 0.3721
Tb6 0.7070 0.4527 0.1597


5.
TbHo2Co: relaxed, PBE.

Results
- SG: P4/mmm, No. 123
- Offset from the most stable computed form: 0.102 eV/atom
- Formation energy from the elements: -0.0653 eV per atom
- Total moment: 0.75 μB/f.u.

Lattice parameters (Å, degrees): 3.3789 3.3789 8.8280 90.00 90.00 90.00
Last column: magnetic moment on the atom in μB.
Fractional positions:
Co1 0.5000 0.5000 0.0000  0.85
Ho1 0.0000 0.0000 0.8176  -0.09
Tb1 0.5000 0.5000 0.5000  0.07
Ho2 0.0000 0.0000 0.1824  -0.09


6.
TbHo2Co2: relaxed, PBE.

Results
- SG: C2/m, No. 12
- Offset from the most stable computed form: 0.072 eV/atom
- Formation energy from the elements: -0.0827 eV per atom
- Total moment: 0.00 μB/f.u.

Lattice parameters (Å, degrees): 3.7203 5.4830 5.9189 103.04 108.32 90.00
Fractional positions:
Co1 0.2826 0.8957 0.5652
Co2 0.7174 0.1043 0.4348
Tb1 0.0000 0.0000 0.0000
Ho1 0.3513 0.4178 0.7027
Ho2 0.6487 0.5822 0.2973


7.
TbHo3Co2: relaxed, PBE.

Results
- SG: C2/m, No. 12
- Offset from the most stable computed form: 0.000 eV/atom
- Formation energy from the elements: -0.1612 eV per atom
- Total moment: 0.00 μB/f.u.

Lattice parameters (Å, degrees): 3.7372 8.3759 9.8807 77.96 79.10 77.11
Fractional positions:
Co1 0.7661 0.4188 0.0490
Ho1 0.4161 0.2255 0.9423
Co2 0.7669 0.9184 0.5479
Ho2 0.1589 0.9293 0.7528
Tb1 0.8415 0.5708 0.7461
Tb2 0.1585 0.4292 0.2539
Ho3 0.5839 0.7745 0.0577
Ho4 0.8411 0.0707 0.2472
Co3 0.2331 0.0816 0.4521
Ho5 0.5843 0.2708 0.5607
Co4 0.2339 0.5812 0.9510
Ho6 0.4157 0.7292 0.4393


8.
TbHoCo: relaxed, PBE.

Results
- SG: F-43m, No. 216
- Offset from the most stable computed form: 0.078 eV/atom
- Formation energy from the elements: -0.0562 eV per atom
- Total moment: 0.00 μB/f.u.

Lattice parameters (Å, degrees): 4.6822 4.6822 4.6822 60.00 60.00 60.00
Fractional positions:
Tb1 0.0000 0.0000 0.0000
Ho1 0.5000 0.5000 0.5000
Co1 0.2500 0.2500 0.2500


9.
Tb2HoCo2: relaxed, PBE.

Results
- SG: C2/m, No. 12
- Offset from the most stable computed form: 0.000 eV/atom
- Formation energy from the elements: -0.1524 eV per atom
- Total moment: 0.00 μB/f.u.

Lattice parameters (Å, degrees): 3.8696 6.0247 5.8356 61.76 70.64 71.27
Fractional positions:
Ho1 0.5000 0.5000 0.0000
Tb1 0.3076 0.1843 0.7006
Co1 0.0188 0.1686 0.2938
Co2 0.9812 0.8314 0.7062
Tb2 0.6924 0.8157 0.2994


10.
TbHo2Co: relaxed, PBE.

Results
- SG: R-3m, No. 166
- Offset from the most stable computed form: 0.325 eV/atom
- Formation energy from the elements: 0.1576 eV per atom
- Total moment: 0.00 μB/f.u.

Lattice parameters (Å, degrees): 3.5691 3.5691 10.4950 80.21 80.21 60.00
Fractional positions:
Ho1 0.1140 0.1140 0.6581
Co1 0.5000 0.5000 0.5000
Tb1 0.0000 0.0000 0.0000
Ho2 0.8860 0.8860 0.3419


11.
TbHoCo: relaxed, PBE.

Results
- SG: P3m1, No. 156
- Offset from the most stable computed form: 0.079 eV/atom
- Formation energy from the elements: -0.0558 eV per atom
- Total moment: 0.00 μB/f.u.

Lattice parameters (Å, degrees): 3.8670 3.8670 6.1584 90.00 90.00 120.00
Fractional positions:
Tb1 0.0000 0.0000 0.1004
Ho1 0.3333 0.6667 0.5652
Co1 0.6667 0.3333 0.3344


12.
TbHoCo: relaxed, PBE.

Results
- SG: P2_1/m, No. 11
- Offset from the most stable computed form: 0.000 eV/atom
- Formation energy from the elements: -0.1347 eV per atom
- Total moment: 0.00 μB/f.u.

Lattice parameters (Å, degrees): 3.7657 5.6763 7.0538 95.37 90.00 90.00
Fractional positions:
Co1 0.2500 0.8675 0.9590
Tb1 0.7500 0.8207 0.6762
Ho1 0.2500 0.3451 0.8328
Ho2 0.7500 0.6549 0.1672
Tb2 0.2500 0.1793 0.3238
Co2 0.7500 0.1325 0.0410